Entry 1:
Here is a relaxed GdHoTlNi2 crystal from OQMD via LeMat-Bulk. Energies are from PBE.

Geometry as POSCAR:
```
GdHoTlNi2
1.0
3.685 0.000 0.000
0.000 1.952 7.221
0.000 -1.952 7.221
Gd Ho Tl Ni
1 1 1 2
Direct
0.000 0.000 0.000
0.000 0.722 0.722
0.500 0.360 0.360
0.500 0.162 0.162
0.500 0.563 0.563
```

## Properties
As for the magnetization: 0.001 Bohr magnetons per cell. As for the space-group type: No. 38. As for the calculated total energy: -0.36898 Ry/atom.

=====

Entry 2:
Here is a relaxed Gd2Ho2O5 crystal from OQMD via LeMat-Bulk. Energies are from PBE.

Geometry as POSCAR:
```
Gd2Ho2O5
1.0
3.926 0.000 0.000
0.000 3.926 0.000
0.000 0.000 9.207
Gd Ho O
2 2 5
Direct
0.000 0.000 0.000
0.000 0.000 0.500
0.500 0.500 0.245
0.500 0.500 0.755
0.000 0.500 0.149
0.000 0.500 0.851
0.500 0.000 0.149
0.500 0.000 0.851
0.500 0.500 0.500
```

## Properties
For the energy above the lowest structure with this stoichiometry, the calculation gives 0.00 eV/f.u. As for the magnetization: 1.269 Bohr magnetons per cell. As for the space-group type: No. 123.

=====

Entry 3:
Here is a relaxed Gd2Ho2O5 crystal from OQMD via LeMat-Bulk. Energies are from PBE.

Geometry as POSCAR:
```
Gd2Ho2O5
1.0
4.078 0.000 0.000
0.000 4.078 0.000
0.000 0.000 8.470
Gd Ho O
2 2 5
Direct
0.000 0.000 0.241
0.000 0.000 0.759
0.500 0.500 0.000
0.500 0.500 0.500
0.000 0.000 0.500
0.000 0.500 0.149
0.000 0.500 0.851
0.500 0.000 0.149
0.500 0.000 0.851
```

## Properties
For the energy above the lowest structure with this stoichiometry, the calculation gives 1.47 eV/f.u. As for the magnetization: 1.311 Bohr magnetons per cell. As for the space-group type: No. 123.

=====

Entry 4:
Here is a relaxed GdHoO2 crystal from OQMD via LeMat-Bulk. Energies are from PBE.

Geometry as POSCAR:
```
GdHoO2
1.0
3.401 0.000 0.000
0.000 3.401 0.000
0.000 0.000 4.810
Gd Ho O
1 1 2
Direct
0.000 0.000 0.000
0.500 0.500 0.500
0.000 0.000 0.500
0.500 0.500 0.000
```

## Properties
As for the magnetization: 0.030 Bohr magnetons per cell. As for the space-group type: No. 123. As for the calculated total energy: -0.55629 Ry/atom.

=====

Entry 5:
Here is a relaxed Gd2HoO3 crystal from OQMD via LeMat-Bulk. Energies are from PBE.

Geometry as POSCAR:
```
Gd2HoO3
1.0
3.408 0.000 0.000
-1.704 2.952 0.000
0.000 0.000 8.382
Gd Ho O
2 1 3
Direct
0.333 0.667 0.168
0.667 0.333 0.832
0.000 0.000 0.500
0.000 0.000 0.000
0.333 0.667 0.653
0.667 0.333 0.347
```

## Properties
As for the magnetization: 0.006 Bohr magnetons per cell. As for the space-group type: No. 164. As for the calculated total energy: -0.55772 Ry/atom.

=====

Entry 6:
Here is a relaxed GdHoPO crystal from OQMD via LeMat-Bulk. Energies are from PBE.

Geometry as POSCAR:
```
GdHoPO
1.0
4.177 0.000 0.000
0.000 7.467 0.000
0.000 0.000 5.743
Gd Ho P O
2 2 2 2
Direct
0.000 0.201 0.000
0.000 0.799 0.500
0.500 0.380 0.562
0.500 0.620 0.062
0.000 0.166 0.495
0.000 0.834 0.995
0.500 0.332 0.943
0.500 0.668 0.443
```

## Properties
For the energy above the lowest structure with this stoichiometry, the calculation gives 0.00 eV/f.u. As for the magnetization: 0.026 Bohr magnetons per cell. As for the space-group type: No. 26.

=====

Entry 7:
Here is a relaxed GdHoPO crystal from OQMD via LeMat-Bulk. Energies are from PBE.

Geometry as POSCAR:
```
GdHoPO
1.0
4.308 0.000 0.000
0.000 4.308 0.000
0.000 0.000 8.629
Gd Ho P O
2 2 2 2
Direct
0.250 0.250 0.106
0.750 0.750 0.894
0.250 0.750 0.500
0.750 0.250 0.500
0.250 0.250 0.693
0.750 0.750 0.307
0.250 0.750 0.000
0.750 0.250 0.000
```

## Properties
For the energy above the lowest structure with this stoichiometry, the calculation gives 0.36 eV/f.u. As for the magnetization: 0.020 Bohr magnetons per cell. As for the space-group type: No. 129.

=====

Entry 8:
Here is a relaxed GdHoPO crystal from OQMD via LeMat-Bulk. Energies are from PBE.

Geometry as POSCAR:
```
GdHoPO
1.0
4.158 0.000 0.000
0.000 7.644 0.000
0.000 0.000 5.483
Gd Ho P O
2 2 2 2
Direct
0.000 0.130 0.000
0.000 0.870 0.500
0.500 0.293 0.469
0.500 0.707 0.969
0.500 0.350 0.968
0.500 0.650 0.468
0.000 0.171 0.437
0.000 0.829 0.937
```

## Properties
For the energy above the lowest structure with this stoichiometry, the calculation gives 0.06 eV/f.u. As for the magnetization: 0.003 Bohr magnetons per cell. As for the space-group type: No. 26.

=====

Entry 9:
Here is a relaxed GdHoPO crystal from OQMD via LeMat-Bulk. Energies are from PBE.

Geometry as POSCAR:
```
GdHoPO
1.0
4.298 0.000 0.000
0.000 4.298 0.000
0.000 0.000 8.612
Gd Ho P O
2 2 2 2
Direct
0.250 0.750 0.000
0.750 0.250 0.000
0.250 0.250 0.401
0.750 0.750 0.599
0.250 0.250 0.798
0.750 0.750 0.202
0.250 0.750 0.500
0.750 0.250 0.500
```

## Properties
For the energy above the lowest structure with this stoichiometry, the calculation gives 0.58 eV/f.u. As for the magnetization: 0.027 Bohr magnetons per cell. As for the space-group type: No. 129.

=====

Entry 10:
Here is a relaxed GdHoSO2 crystal from OQMD via LeMat-Bulk. Energies are from PBE.

Geometry as POSCAR:
```
GdHoSO2
1.0
3.803 0.000 0.000
-1.902 3.294 0.000
0.000 0.000 6.590
Gd Ho S O
1 1 1 2
Direct
0.000 0.000 0.000
0.333 0.667 0.563
0.667 0.333 0.283
0.000 0.000 0.647
0.333 0.667 0.907
```

## Properties
As for the magnetization: 0.000 Bohr magnetons per cell. As for the space-group type: No. 156. As for the calculated total energy: -0.57730 Ry/atom.

=====

Entry 11:
Here is a relaxed GdHoTeO2 crystal from OQMD via LeMat-Bulk. Energies are from PBE.

Geometry as POSCAR:
```
GdHoTeO2
1.0
3.899 0.000 0.000
-1.949 3.377 0.000
0.000 0.000 7.195
Gd Ho Te O
1 1 1 2
Direct
0.000 0.000 0.000
0.333 0.667 0.609
0.667 0.333 0.307
0.000 0.000 0.680
0.333 0.667 0.921
```

## Properties
For the energy above the lowest structure with this stoichiometry, the calculation gives 0.41 eV/f.u. As for the magnetization: 0.000 Bohr magnetons per cell. As for the space-group type: No. 156.

=====

Entry 12:
Here is a relaxed GdHoTeO2 crystal from OQMD via LeMat-Bulk. Energies are from PBE.

Geometry as POSCAR:
```
GdHoTeO2
1.0
-1.960 1.960 6.231
1.960 -1.960 6.231
1.960 1.960 -6.231
Gd Ho Te O
1 1 1 2
Direct
0.000 0.000 0.000
0.676 0.676 0.000
0.339 0.339 0.000
0.091 0.591 0.500
0.591 0.091 0.500
```

## Properties
For the energy above the lowest structure with this stoichiometry, the calculation gives 0.00 eV/f.u. As for the magnetization: 0.001 Bohr magnetons per cell. As for the space-group type: No. 107.